[1]
A plane-wave DFT calculation with PBE was carried out for crystalline Sm12Ho5Al2 at its relaxed geometry.

```
Sm12Ho5Al2
1.0
8.028 0.000 0.000
-4.014 8.375 2.951
0.000 -0.160 8.925
Ho Sm Al
5 12 2
Direct
0.686 0.371 0.828
0.752 0.503 0.222
0.248 0.497 0.778
0.000 0.000 0.500
0.314 0.629 0.172
0.613 0.694 0.471
0.939 0.278 0.130
0.080 0.694 0.471
0.061 0.722 0.870
0.951 0.903 0.169
0.480 0.959 0.692
0.520 0.041 0.308
0.920 0.306 0.529
0.339 0.278 0.130
0.661 0.722 0.870
0.387 0.306 0.529
0.049 0.097 0.831
0.338 0.000 0.000
0.662 0.000 0.000
```

Calculated values
The formation energy is 0.064 eV/atom.



[2]
A plane-wave DFT calculation with PBE was carried out for crystalline SmHo2Al at its relaxed geometry.

```
SmHo2Al
1.0
3.513 0.000 0.000
0.000 3.513 0.000
0.000 0.000 9.044
Ho Sm Al
2 1 1
Direct
0.000 0.000 0.211
0.000 0.000 0.789
0.500 0.500 0.500
0.500 0.500 0.000
```

Calculated values
The polymorph energy (0 for the lowest one) comes out at 0 meV per atom. The formation energy is -0.195 eV/atom.



[3]
A plane-wave DFT calculation with PBE was carried out for crystalline Sm3Ho4Al at its relaxed geometry.

```
Sm3Ho4Al
1.0
3.552 0.000 0.000
0.000 3.552 0.000
0.000 0.000 19.132
Sm Ho Al
3 4 1
Direct
0.500 0.500 0.233
0.500 0.500 0.500
0.500 0.500 0.767
0.000 0.000 0.902
0.000 0.000 0.634
0.000 0.000 0.098
0.000 0.000 0.366
0.500 0.500 0.000
```

Calculated values
The formation energy is -0.086 eV/atom.



[4]
A plane-wave DFT calculation with PBE was carried out for crystalline Sm2HoAl at its relaxed geometry.

```
Sm2HoAl
1.0
-2.819 0.043 4.613
2.503 -0.909 4.705
0.661 4.037 3.534
Al Sm Ho
1 2 1
Direct
0.500 0.500 0.500
0.750 0.750 0.750
0.250 0.250 0.250
0.000 0.000 0.000
```

Calculated values
The polymorph energy (0 for the lowest one) comes out at 115 meV per atom. The formation energy is -0.060 eV/atom.



[5]
A plane-wave DFT calculation with PBE was carried out for crystalline Sm12HoAl3 at its relaxed geometry.

```
Sm12HoAl3
1.0
-3.535 2.590 -2.152
-1.874 -4.105 -1.862
-11.388 -2.126 16.152
Sm Al Ho
12 3 1
Direct
0.000 0.500 0.134
0.500 0.500 0.743
0.500 0.500 0.000
0.500 0.000 0.622
0.500 0.500 0.500
0.500 0.000 0.378
0.500 0.000 0.866
0.000 0.500 0.378
0.500 0.000 0.134
0.500 0.500 0.257
0.000 0.500 0.866
0.000 0.500 0.622
0.000 0.000 0.742
0.000 0.000 0.500
0.000 0.000 0.258
0.000 0.000 0.000
```

Calculated values
The formation energy is -0.116 eV/atom.



[6]
A plane-wave DFT calculation with PBE was carried out for crystalline SmHo5Al3 at its relaxed geometry.

```
SmHo5Al3
1.0
-1.680 2.408 5.947
5.784 -5.761 3.966
2.828 8.242 -2.538
Al Ho Sm
6 10 2
Direct
0.750 0.662 0.000
0.250 0.663 0.663
0.750 0.337 0.337
0.250 0.000 0.337
0.750 0.000 0.663
0.250 0.338 0.000
0.750 0.332 0.000
0.500 0.667 0.333
0.500 0.333 0.667
0.250 0.333 0.332
0.750 0.667 0.668
0.250 0.000 0.668
0.750 0.000 0.332
0.250 0.668 0.000
0.000 0.667 0.333
0.000 0.333 0.667
0.500 0.000 0.000
0.000 0.000 0.000
```

Calculated values
The formation energy is -0.263 eV/atom.



[7]
A plane-wave DFT calculation with PBE was carried out for crystalline Sm6HoAl2 at its relaxed geometry.

```
Sm6HoAl2
1.0
0.166 -3.468 1.413
5.552 -2.746 -2.422
7.931 1.758 8.352
Sm Ho Al
6 1 2
Direct
0.311 0.788 0.590
0.975 0.724 0.326
0.689 0.212 0.410
0.314 0.495 0.877
0.686 0.505 0.123
0.025 0.276 0.674
0.000 0.000 0.000
0.648 0.902 0.802
0.352 0.098 0.198
```

Calculated values
The formation energy is -0.147 eV/atom.



[8]
A plane-wave DFT calculation with PBE was carried out for crystalline Sm4Ho9Al11 at its relaxed geometry.

```
Sm4Ho9Al11
1.0
-2.855 0.473 1.701
2.936 -10.702 7.904
5.041 11.514 5.259
Ho Al Sm
9 11 4
Direct
0.500 0.611 0.165
0.500 0.796 0.993
0.500 0.389 0.835
0.500 0.993 0.796
0.500 0.835 0.389
0.500 0.204 0.007
0.500 0.165 0.611
0.500 0.500 0.500
0.500 0.007 0.204
0.000 0.192 0.192
0.000 0.190 0.810
0.000 0.810 0.190
0.000 0.379 0.621
0.000 0.000 0.000
0.000 0.036 0.412
0.000 0.588 0.964
0.000 0.621 0.379
0.000 0.412 0.036
0.000 0.964 0.588
0.000 0.808 0.808
0.500 0.403 0.239
0.500 0.761 0.597
0.500 0.239 0.403
0.500 0.597 0.761
```

Calculated values
The formation energy is -0.321 eV/atom.



no.,M_tot (μB per cell),DOS at the Fermi energy (states/eV per atom)
1,0.00,1.15
2,0.00,0.80
3,0.00,1.15
4,0.00,1.67
5,0.00,1.41
6,0.02,1.12
7,0.00,1.06
8,0.00,0.66